The following is a PBE calculation of a geometry-optimized GeIrCl2 structure, from the Alexandria database.

The space-group type is R-3m, No. 166. As for the uncorrected formation energy: 0.521 eV per atom. The calculation puts the excess energy over the best structure of this formula in the dataset at 41 meV/atom. The value obtained for the volume is 22.52 Å³/atom.

Unit cell a=3.526 b=3.526 c=25.096 alpha=90.00 beta=90.00 gamma=120.00
Fractional coordinates of all 12 atoms:
Ge1 0.000 0.000 0.000
Ge2 0.333 0.667 0.667
Ge3 0.667 0.333 0.333
Ir1 0.000 0.000 0.500
Ir2 0.333 0.667 0.167
Ir3 0.667 0.333 0.833
Cl1 0.000 0.000 0.111
Cl2 0.000 0.000 0.889
Cl3 0.333 0.667 0.556
Cl4 0.333 0.667 0.777
Cl5 0.667 0.333 0.223
Cl6 0.667 0.333 0.444


The following is a PBE calculation of a geometry-optimized Sr2Ca2HRh2 structure, from the Alexandria database.

The space-group type is C2/m, No. 12. As for the total energy: -3.922 eV per atom. The value obtained for the volume is 25.37 Å³/atom.

Unit cell a=12.772 b=4.357 c=7.916 alpha=90.00 beta=126.24 gamma=90.00
Fractional coordinates of all 14 atoms:
Sr1 0.065 0.000 0.329
Sr2 0.435 0.500 0.671
Sr3 0.565 0.500 0.329
Sr4 0.935 0.000 0.671
Ca1 0.204 0.500 0.105
Ca2 0.296 0.000 0.895
Ca3 0.704 0.000 0.105
Ca4 0.796 0.500 0.895
H1 0.000 0.500 0.000
H2 0.500 0.000 0.000
Rh1 0.126 0.500 0.659
Rh2 0.374 0.000 0.341
Rh3 0.626 0.000 0.659
Rh4 0.874 0.500 0.341